A plane-wave DFT calculation with PBE was carried out for La2YTe after structural relaxation.

Output
Density of states at the Fermi level   5.0 states/eV/f.u.
Formation energy without anion corrections   -563 meV per atom

a = 4.884 Å, b = 4.884 Å, c = 5.001 Å
α = 90.00°, β = 90.00°, γ = 90.00°
Positions (direct):
La 0.000 0.500 0.000
La 0.500 0.000 0.000
Y 0.000 0.000 0.500
Te 0.500 0.500 0.500